PmMgB4: relaxed, GGA-PBE.

Cell: 3.190 3.190 7.595 Å, 90.00 90.00 120.00°
Fractional coordinates of all 6 atoms:
Mg  0.000  0.000  0.500
B  0.667  0.333  0.726
B  0.333  0.667  0.274
B  0.667  0.333  0.274
B  0.333  0.667  0.726
Pm  0.000  0.000  0.000

Magnetization: 0.00 μB per atom
Polymorph energy (0 for the lowest one): 0.00 eV/f.u.